Record 1
Dy2ThPb | GGA-PBE | relaxed

Energy relative to the lowest polymorph listed for this composition in meV/atom: 11.0
N(E_F) in states/eV/f.u.: 2.38
DFT formation energy in eV per atom: -0.223

Structure (CIF):
```
data_Dy2ThPb
_chemical_formula_sum 'Dy2 Th1 Pb1'
_space_group_name_H-M_alt 'P 4/m m m'
_space_group_IT_number 123
_space_group_name_Hall '-P 4 2'
_cell_length_a 3.645
_cell_length_b 3.645
_cell_length_c 9.045
_cell_angle_alpha 90.00
_cell_angle_beta 90.00
_cell_angle_gamma 90.00
loop_
_atom_site_label
_atom_site_type_symbol
_atom_site_fract_x
_atom_site_fract_y
_atom_site_fract_z
Dy1 Dy 0.000 0.000 0.237
Th1 Th 0.500 0.500 0.500
Pb1 Pb 0.500 0.500 0.000
```

=====

Record 2
Dy2ThPb | GGA-PBE | relaxed

Energy relative to the lowest polymorph listed for this composition in meV/atom: 0.0
N(E_F) in states/eV/f.u.: 3.90
DFT formation energy in eV per atom: -0.234

Structure (CIF):
```
data_Dy2ThPb
_chemical_formula_sum 'Dy2 Th1 Pb1'
_space_group_name_H-M_alt 'P 4/m m m'
_space_group_IT_number 123
_space_group_name_Hall '-P 4 2'
_cell_length_a 4.958
_cell_length_b 4.958
_cell_length_c 4.765
_cell_angle_alpha 90.00
_cell_angle_beta 90.00
_cell_angle_gamma 90.00
loop_
_atom_site_label
_atom_site_type_symbol
_atom_site_fract_x
_atom_site_fract_y
_atom_site_fract_z
Dy1 Dy 0.000 0.500 0.000
Th1 Th 0.000 0.000 0.500
Pb1 Pb 0.500 0.500 0.500
```

=====

Record 3
DyThPb2 | GGA-PBE | relaxed

N(E_F) in states/eV/f.u.: 2.01
DFT formation energy in eV per atom: -0.360

Structure (CIF):
```
data_DyThPb2
_chemical_formula_sum 'Dy2 Th2 Pb4'
_space_group_name_H-M_alt 'A m m 2'
_space_group_IT_number 38
_cell_length_a 4.610
_cell_length_b 4.501
_cell_length_c 11.873
_cell_angle_alpha 90.00
_cell_angle_beta 90.00
_cell_angle_gamma 90.00
loop_
_space_group_symop_operation_xyz
'x,y,z'
'-x,-y,z'
'-x,y,z'
'x,-y,z'
'x,y+1/2,z+1/2'
'-x,-y+1/2,z+1/2'
'-x,y+1/2,z+1/2'
'x,-y+1/2,z+1/2'
loop_
_atom_site_label
_atom_site_type_symbol
_atom_site_fract_x
_atom_site_fract_y
_atom_site_fract_z
Dy1 Dy 0.000 0.000 0.000
Th1 Th 0.500 0.000 0.740
Pb1 Pb 0.000 0.000 0.267
Pb2 Pb 0.500 0.000 0.470
```

=====

Record 4
DyThPb2 | GGA-PBE | relaxed

N(E_F) in states/eV/f.u.: 6.56
DFT formation energy in eV per atom: -0.257

Structure (CIF):
```
data_DyThPb2
_chemical_formula_sum 'Dy4 Th4 Pb8'
_space_group_name_H-M_alt 'F m -3 m'
_space_group_IT_number 225
_space_group_name_Hall '-F 4 2 3'
_cell_length_a 7.795
_cell_length_b 7.795
_cell_length_c 7.795
_cell_angle_alpha 90.00
_cell_angle_beta 90.00
_cell_angle_gamma 90.00
loop_
_atom_site_label
_atom_site_type_symbol
_atom_site_fract_x
_atom_site_fract_y
_atom_site_fract_z
Dy1 Dy 0.000 0.000 0.000
Th1 Th 0.000 0.000 0.500
Pb1 Pb 0.250 0.250 0.250
```

=====

Record 5
Dy5ThPb4 | GGA-PBE | relaxed

N(E_F) in states/eV/f.u.: 6.19
DFT formation energy in eV per atom: -0.396

Structure (CIF):
```
data_Dy5ThPb4
_chemical_formula_sum 'Dy10 Th2 Pb8'
_space_group_name_H-M_alt 'C 1 2/m 1'
_space_group_IT_number 12
_cell_length_a 18.006
_cell_length_b 5.130
_cell_length_c 6.545
_cell_angle_alpha 90.00
_cell_angle_beta 98.32
_cell_angle_gamma 90.00
loop_
_space_group_symop_operation_xyz
'x,y,z'
'-x,-y,-z'
'-x,y,-z'
'x,-y,z'
'x+1/2,y+1/2,z'
'-x+1/2,-y+1/2,-z'
'-x+1/2,y+1/2,-z'
'x+1/2,-y+1/2,z'
loop_
_atom_site_label
_atom_site_type_symbol
_atom_site_fract_x
_atom_site_fract_y
_atom_site_fract_z
Dy1 Dy 0.000 0.000 0.000
Dy2 Dy 0.114 0.500 0.807
Dy3 Dy 0.189 0.000 0.293
Th1 Th 0.000 0.000 0.500
Pb1 Pb 0.076 0.500 0.278
Pb2 Pb 0.205 0.000 0.783
```

=====

Record 6
Dy2ThPb | GGA-PBE | relaxed

Energy relative to the lowest polymorph listed for this composition in meV/atom: 266.3
N(E_F) in states/eV/f.u.: 3.70
DFT formation energy in eV per atom: 0.032

Structure (CIF):
```
data_Dy2ThPb
_chemical_formula_sum 'Dy6 Th3 Pb3'
_space_group_name_H-M_alt 'R -3 m'
_space_group_IT_number 166
_space_group_name_Hall '-R 3 2"'
_cell_length_a 3.5566
_cell_length_b 3.5566
_cell_length_c 35.7839
_cell_angle_alpha 90.00
_cell_angle_beta 90.00
_cell_angle_gamma 120.00
loop_
_atom_site_label
_atom_site_type_symbol
_atom_site_fract_x
_atom_site_fract_y
_atom_site_fract_z
Dy1 Dy 0.0000 0.0000 0.0888
Th1 Th 0.0000 0.0000 0.5000
Pb1 Pb 0.0000 0.0000 0.0000
```

=====

Record 7
DyThTlPb | GGA-PBE | relaxed

N(E_F) in states/eV/f.u.: 4.45
DFT formation energy in eV per atom: -0.220

Structure (CIF):
```
data_DyThTlPb
_chemical_formula_sum 'Dy4 Th4 Tl4 Pb4'
_space_group_name_H-M_alt 'F -4 3 m'
_space_group_IT_number 216
_space_group_name_Hall 'F -4 2 3'
_cell_length_a 7.753
_cell_length_b 7.753
_cell_length_c 7.753
_cell_angle_alpha 90.00
_cell_angle_beta 90.00
_cell_angle_gamma 90.00
loop_
_atom_site_label
_atom_site_type_symbol
_atom_site_fract_x
_atom_site_fract_y
_atom_site_fract_z
Dy1 Dy 0.000 0.000 0.000
Th1 Th 0.000 0.000 0.500
Tl1 Tl 0.250 0.250 0.250
Pb1 Pb 0.250 0.250 0.750
```

=====

Record 8
DyTiPb | GGA-PBE | relaxed

N(E_F) in states/eV/f.u.: 2.42
DFT formation energy in eV per atom: -0.291

Structure (CIF):
```
data_DyTiPb
_chemical_formula_sum 'Dy2 Ti2 Pb2'
_space_group_name_H-M_alt 'P 4/n m m'
_space_group_IT_number 129
_cell_length_a 4.310
_cell_length_b 4.310
_cell_length_c 8.042
_cell_angle_alpha 90.00
_cell_angle_beta 90.00
_cell_angle_gamma 90.00
loop_
_space_group_symop_operation_xyz
'x,y,z'
'-x,-y,-z'
'-y+1/2,x,z'
'y+1/2,-x,-z'
'-x+1/2,-y+1/2,z'
'x+1/2,y+1/2,-z'
'y,-x+1/2,z'
'-y,x+1/2,-z'
'x+1/2,-y,-z'
'-x+1/2,y,z'
'-y,-x,-z'
'y,x,z'
'-x,y+1/2,-z'
'x,-y+1/2,z'
'y+1/2,x+1/2,-z'
'-y+1/2,-x+1/2,z'
loop_
_atom_site_label
_atom_site_type_symbol
_atom_site_fract_x
_atom_site_fract_y
_atom_site_fract_z
Dy1 Dy 0.250 0.250 0.164
Ti1 Ti 0.250 0.750 0.500
Pb1 Pb 0.250 0.250 0.756
```

=====

Record 9
DyTlPb4 | GGA-PBE | relaxed

N(E_F) in states/eV/f.u.: 1.50
DFT formation energy in eV per atom: -0.011

Structure (CIF):
```
data_DyTlPb4
_chemical_formula_sum 'Dy4 Tl4 Pb16'
_space_group_name_H-M_alt 'F -4 3 m'
_space_group_IT_number 216
_space_group_name_Hall 'F -4 2 3'
_cell_length_a 9.153
_cell_length_b 9.153
_cell_length_c 9.153
_cell_angle_alpha 90.00
_cell_angle_beta 90.00
_cell_angle_gamma 90.00
loop_
_atom_site_label
_atom_site_type_symbol
_atom_site_fract_x
_atom_site_fract_y
_atom_site_fract_z
Dy1 Dy 0.000 0.000 0.000
Tl1 Tl 0.250 0.250 0.750
Pb1 Pb 0.126 0.126 0.374
```

=====

Record 10
Dy3Tl2Pb | GGA-PBE | relaxed

Energy relative to the lowest polymorph listed for this composition in meV/atom: 9.3
N(E_F) in states/eV/f.u.: 4.84
DFT formation energy in eV per atom: -0.364

Structure (CIF):
```
data_Dy3Tl2Pb
_chemical_formula_sum 'Dy3 Tl2 Pb1'
_space_group_name_H-M_alt 'P 4/m m m'
_space_group_IT_number 123
_space_group_name_Hall '-P 4 2'
_cell_length_a 3.567
_cell_length_b 3.567
_cell_length_c 12.960
_cell_angle_alpha 90.00
_cell_angle_beta 90.00
_cell_angle_gamma 90.00
loop_
_atom_site_label
_atom_site_type_symbol
_atom_site_fract_x
_atom_site_fract_y
_atom_site_fract_z
Dy1 Dy 0.000 0.000 0.000
Dy2 Dy 0.000 0.000 0.329
Tl1 Tl 0.500 0.500 0.165
Pb1 Pb 0.500 0.500 0.500
```

=====

Record 11
Dy2TlPb | GGA-PBE | relaxed

N(E_F) in states/eV/f.u.: 2.43
DFT formation energy in eV per atom: -0.299

Structure (CIF):
```
data_Dy2TlPb
_chemical_formula_sum 'Dy6 Tl3 Pb3'
_space_group_name_H-M_alt 'R -3 m'
_space_group_IT_number 166
_space_group_name_Hall '-R 3 2"'
_cell_length_a 3.8090
_cell_length_b 3.8090
_cell_length_c 28.3802
_cell_angle_alpha 90.00
_cell_angle_beta 90.00
_cell_angle_gamma 120.00
loop_
_atom_site_label
_atom_site_type_symbol
_atom_site_fract_x
_atom_site_fract_y
_atom_site_fract_z
Dy1 Dy 0.0000 0.0000 0.2504
Tl1 Tl 0.0000 0.0000 0.0000
Pb1 Pb 0.0000 0.0000 0.5000
```

=====

Record 12
Dy5TlPb6 | GGA-PBE | relaxed

N(E_F) in states/eV/f.u.: 8.90
DFT formation energy in eV per atom: -0.388

Structure (CIF):
```
data_Dy5TlPb6
_chemical_formula_sum 'Dy10 Tl2 Pb12'
_space_group_name_H-M_alt 'I m m m'
_space_group_IT_number 71
_space_group_name_Hall '-I 2 2'
_cell_length_a 4.852
_cell_length_b 9.100
_cell_length_c 15.390
_cell_angle_alpha 90.00
_cell_angle_beta 90.00
_cell_angle_gamma 90.00
loop_
_atom_site_label
_atom_site_type_symbol
_atom_site_fract_x
_atom_site_fract_y
_atom_site_fract_z
Dy1 Dy 0.000 0.000 0.000
Dy2 Dy 0.000 0.000 0.355
Dy3 Dy 0.000 0.500 0.327
Tl1 Tl 0.000 0.500 0.000
Pb1 Pb 0.000 0.245 0.171
Pb2 Pb 0.000 0.268 0.500
```

=====

> Which value of N(E_F) does entry 7 give?

4.45 states/eV/f.u.